# Zn3Pb, optimized geometry, DFT PBE-GGA
# total moment: 0.00 Bohr magnetons per cell
# energy: -1.71 eV per atom
# calculated formation energy: 0.1713 eV per atom
# theoretical density: 8.15 g cm⁻³
data_Zn3Pb
_chemical_formula_sum 'Zn12 Pb4'
_cell_length_a 6.7528
_cell_length_b 6.7528
_cell_length_c 8.3263
_cell_angle_alpha 90.00
_cell_angle_beta 90.00
_cell_angle_gamma 120.00
_space_group_name_H-M_alt 'P 63/m m c'
_space_group_IT_number 194
_space_group_name_Hall '-P 6c 2c'
loop_
_atom_site_label
_atom_site_fract_x
_atom_site_fract_y
_atom_site_fract_z
Zn1 0.0000 0.5000 0.0000
Zn2 0.1982 0.3965 0.2500
Pb1 0.0000 0.0000 0.0000
Pb2 0.3333 0.6667 0.7500